ScNiF3 | PBE+U | optimized geometry

Cell and atoms, written as POSCAR:
```
ScNiF3
1.0
3.997 0.000 0.000
0.000 3.997 0.000
0.000 0.000 3.997
Sc Ni F
1 1 3
Direct
0.000 0.000 0.000
0.500 0.500 0.500
0.000 0.500 0.500
0.500 0.000 0.500
0.500 0.500 0.000
```

Calculated volume = 63.87 Å³/cell
Energy above the most stable polymorph in this dataset = 835 meV per atom
Mass density = 4.18 Mg/m³